## Sr2H2Pb (PBE-GGA)

Data for a relaxed Sr2H2Pb crystal. Values from VASP.

Quantum ESPRESSO input file:
```
&SYSTEM
  ibrav = 0, nat = 5, ntyp = 3
/
ATOMIC_SPECIES
Pb 207.20 Pb.upf
Sr 87.62 Sr.upf
H 1.01 H.upf
CELL_PARAMETERS angstrom
-1.791 -2.649 2.288
1.965 -2.887 -1.805
5.704 -2.145 5.360
ATOMIC_POSITIONS crystal
Pb 0.000 0.000 0.000
Sr 0.344 0.344 0.313
Sr 0.656 0.656 0.687
H 0.750 0.250 0.500
H 0.250 0.750 0.500
```

Output
The calculation puts the offset from the most stable computed form at 0 meV per atom. As for the space-group type: No. 139.